First-principles (PBE) data for an optimized crystal structure of Pa3Si3Os2, as listed in the Alexandria database. Values from VASP.

Size of the total moment = 0.000 μB per cell
Raw formation energy = -58.6 kJ per mole of atoms
Excess energy over the best structure of this formula in the dataset = 0.0 meV per atom

Quantum ESPRESSO input file:
```
&SYSTEM
  ibrav = 0, nat = 16, ntyp = 3
/
ATOMIC_SPECIES
Pa 231.04 Pa.upf
Os 190.23 Os.upf
Si 28.09 Si.upf
CELL_PARAMETERS angstrom
4.117 0.000 0.000
-2.058 5.245 0.000
0.000 0.000 14.733
ATOMIC_POSITIONS crystal
Pa 0.132 0.263 0.595
Pa 0.132 0.263 0.905
Pa 0.401 0.802 0.750
Pa 0.599 0.198 0.250
Pa 0.868 0.737 0.405
Pa 0.868 0.737 0.095
Os 0.839 0.677 0.881
Os 0.161 0.323 0.119
Os 0.839 0.677 0.619
Os 0.161 0.323 0.381
Si 0.318 0.636 0.250
Si 0.415 0.830 0.951
Si 0.585 0.170 0.451
Si 0.585 0.170 0.049
Si 0.415 0.830 0.549
Si 0.682 0.364 0.750
```